1.
# GGA-PBE SmNpSO2, optimized geometry
# * DFT total energy: -89.6 eV/cell
data_SmNpSO2
_chemical_formula_sum 'Sm2 Np2 S2 O4'
_cell_length_a 3.810
_cell_length_b 3.810
_cell_length_c 12.128
_cell_angle_alpha 90.00
_cell_angle_beta 90.00
_cell_angle_gamma 90.00
_space_group_name_H-M_alt 'I 4 m m'
_space_group_IT_number 107
_space_group_name_Hall 'I 4 -2'
loop_
_atom_site_label
_atom_site_type_symbol
_atom_site_fract_x
_atom_site_fract_y
_atom_site_fract_z
Sm1 Sm 0.000 0.000 0.000
Np1 Np 0.000 0.000 0.710
S1 S 0.000 0.000 0.354
O1 O 0.000 0.500 0.105

2.
# GGA-PBE CsPaAg2Cl8, optimized geometry
# * DFT total energy: -94.8 eV/cell
data_CsPaAg2Cl8
_chemical_formula_sum 'Cs2 Pa2 Ag4 Cl16'
_cell_length_a 11.033
_cell_length_b 7.462
_cell_length_c 10.571
_cell_angle_alpha 90.00
_cell_angle_beta 95.58
_cell_angle_gamma 90.00
_space_group_name_H-M_alt 'C 1 2/m 1'
_space_group_IT_number 12
_space_group_name_Hall '-C 2y'
loop_
_atom_site_label
_atom_site_type_symbol
_atom_site_fract_x
_atom_site_fract_y
_atom_site_fract_z
Cs1 Cs 0.000 0.000 0.000
Pa1 Pa 0.000 0.000 0.500
Ag1 Ag 0.215 0.500 0.273
Cl1 Cl 0.011 0.239 0.673
Cl2 Cl 0.188 0.500 0.050
Cl3 Cl 0.237 0.000 0.497

In the order shown, the computed theoretical density values come out to 8.515, 3.310 g/cm3.